The following is a PBE-GGA calculation of crystalline Cr3Hg2Br8 at its relaxed geometry, from Alexandria via LeMat-Bulk.

## Properties
As for the volume: 36.204 Å³ per atom. The uncorrected formation energy is -588 meV per atom.

Lattice parameters (Å, degrees): 6.487 7.483 10.392 111.10 89.49 90.00
Positions (direct):
1 Br 0.678 0.168 0.857
2 Hg 0.508 0.745 0.491
3 Hg 0.492 0.255 0.509
4 Br 0.858 0.580 0.159
5 Br 0.322 0.832 0.143
6 Cr 0.000 0.738 0.000
7 Cr 0.500 0.000 0.000
8 Br 0.834 0.076 0.151
9 Br 0.322 0.311 0.143
10 Br 0.166 0.924 0.849
11 Cr 0.000 0.262 0.000
12 Br 0.678 0.689 0.857
13 Br 0.142 0.420 0.841

The following is a PBE-GGA calculation of crystalline CrHgBr2 at its relaxed geometry, from Alexandria via LeMat-Bulk.

## Properties
As for the distance to the lowest polymorph of the same formula: 0.032 eV per atom. As for the volume: 36.881 Å³ per atom. The uncorrected formation energy is -414 meV per atom.

Lattice parameters (Å, degrees): 4.183 4.183 10.816 90.00 90.00 128.80
Positions (direct):
1 Cr 0.500 0.500 0.250
2 Hg 0.500 0.500 0.750
3 Br 0.000 0.000 0.090
4 Br 0.000 0.000 0.410

The following is a PBE-GGA calculation of crystalline Cr3HgBr at its relaxed geometry, from Alexandria via LeMat-Bulk.

## Properties
As for the distance to the lowest polymorph of the same formula: 0.000 eV per atom. As for the volume: 28.757 Å³ per atom. The uncorrected formation energy is 1239 meV per atom.

Lattice parameters (Å, degrees): 5.239 5.239 5.239 90.00 90.00 90.00
Positions (direct):
1 Cr 0.500 0.000 0.000
2 Cr 0.000 0.500 0.000
3 Br 0.500 0.500 0.500
4 Cr 0.000 0.000 0.500
5 Hg 0.000 0.000 0.000

The following is a PBE-GGA calculation of crystalline Cr2HgBr2 at its relaxed geometry, from Alexandria via LeMat-Bulk.

## Properties
As for the volume: 28.611 Å³ per atom. The uncorrected formation energy is 185 meV per atom.

Lattice parameters (Å, degrees): 6.788 6.788 6.788 137.12 137.12 62.25
Positions (direct):
1 Cr 0.750 0.250 0.500
2 Br 0.344 0.344 0.000
3 Hg 0.000 0.000 0.000
4 Cr 0.250 0.750 0.500
5 Br 0.656 0.656 0.000